Record 1
First-principles (PBE) data for an optimized crystal structure of La3Tb5, as listed in the Alexandria database.

The value obtained for the offset from the most stable computed form is 0 meV per atom. For the energy of formation, the calculation gives 19 kJ/mol of formula units.

Geometry as POSCAR:
```
La3Tb5
1.0
-3.6417 2.3037 2.8679
2.9495 -2.7893 5.9860
4.1580 5.8927 0.5464
La Tb
3 5
direct
0.5000 0.7531 0.2469 La
0.5000 0.2469 0.7531 La
0.0000 0.5000 0.5000 La
0.0000 0.0000 0.0000 Tb
0.0000 0.0000 0.5000 Tb
0.5000 0.7504 0.7504 Tb
0.0000 0.5000 0.0000 Tb
0.5000 0.2496 0.2496 Tb
```

---

Record 2
First-principles (PBE) data for an optimized crystal structure of La3Tb4, as listed in the Alexandria database.

The value obtained for the offset from the most stable computed form is 231 meV per atom. For the energy of formation, the calculation gives 175 kJ/mol of formula units.

Geometry as POSCAR:
```
La3Tb4
1.0
-2.6937 6.1023 -5.4495
0.2587 -7.5816 -4.0796
-5.4396 -0.5070 6.6592
La Tb
6 8
direct
0.3750 0.1250 0.7500 La
0.7500 0.6250 0.3750 La
0.8750 0.2500 0.6250 La
0.6250 0.7500 0.8750 La
0.1250 0.3750 0.2500 La
0.2500 0.8750 0.1250 La
0.0000 0.0000 0.3353 Tb
0.5000 0.3353 0.5000 Tb
0.1647 0.6647 0.6647 Tb
0.0000 0.0000 0.8353 Tb
0.6647 0.1647 0.1647 Tb
0.8353 0.5000 0.0000 Tb
0.3353 0.5000 0.0000 Tb
0.5000 0.8353 0.5000 Tb
```

---

| no. | magnetic moment (Bohr magnetons per cell) |
| --- | --- |
| 1 | 0.00 |
| 2 | 0.00 |